No. 1
MgMn2Tl: relaxed, PBE.

The structure in extended XYZ format:
```
4
Lattice="-4.838 -0.469 1.267 -0.321 -0.657 4.970 2.395 3.456 -2.749" Properties=species:S:1:pos:R:3 pbc="T T T"
Mg -0.253 1.118 2.670
Mn -5.159 -1.126 6.237
Mn -2.580 -0.563 3.118
Tl -2.512 1.212 0.818
```

- energy (eV/cell) = -20.9
- calculated density (g/cm³) = 8.06

***

No. 2
Pr2Er5Sc12: relaxed, PBE.

The structure in extended XYZ format:
```
19
Lattice="-4.636 6.871 2.405 -4.790 -5.439 -9.180 0.825 -2.159 7.758" Properties=species:S:1:pos:R:3 pbc="T T T"
Pr -3.236 4.797 1.679
Pr -1.400 2.075 0.726
Er -3.770 -2.499 -0.126
Er -2.639 -2.880 3.142
Er 0.413 -1.079 3.879
Er -5.961 2.155 -2.159
Er -4.830 1.773 1.110
Sc -1.110 -1.057 0.879
Sc -2.616 -5.603 1.036
Sc -5.589 -1.197 2.578
Sc -4.102 -3.651 -3.366
Sc -5.866 -1.037 -2.451
Sc -2.414 1.562 6.370
Sc -6.186 -2.288 -5.386
Sc -4.499 2.926 4.350
Sc -2.735 0.311 3.435
Sc -5.984 4.878 -0.053
Sc -3.011 0.471 -1.595
Sc -7.490 0.331 0.104
```

- energy (eV/cell) = -105.6
- calculated density (g/cm³) = 5.23

***

No. 3
YHoInRh: relaxed, PBE.

The structure in extended XYZ format:
```
4
Lattice="5.090 0.000 0.000 2.545 4.408 0.000 2.545 1.469 4.156" Properties=species:S:1:pos:R:3 pbc="T T T"
Y 7.635 4.408 3.117
Rh 5.090 2.939 2.078
Ho 2.545 1.469 1.039
In 0.000 0.000 0.000
```

- energy (eV/cell) = -23.4
- calculated density (g/cm³) = 8.40

***

No. 4
CsAl3Sn: relaxed, PBE.

The structure in extended XYZ format:
```
5
Lattice="5.641 0.000 0.000 0.000 5.641 0.000 0.000 0.000 5.641" Properties=species:S:1:pos:R:3 pbc="T T T"
Cs 2.820 2.820 2.820
Sn 0.000 0.000 0.000
Al 0.000 2.820 0.000
Al 0.000 0.000 2.820
Al 2.820 0.000 0.000
```

- energy (eV/cell) = -13.0
- calculated density (g/cm³) = 3.08

***

No. 5
NaTb2YS4: relaxed, PBE.

The structure in extended XYZ format:
```
8
Lattice="3.925 0.000 0.000 0.000 6.840 -0.152 0.000 2.385 6.416" Properties=species:S:1:pos:R:3 pbc="T T T"
Na 1.963 5.805 6.340
Tb 0.000 2.385 6.416
Tb 1.963 1.193 3.208
Y 0.000 4.613 3.132
S 0.000 6.938 4.665
S 3.925 2.288 1.598
S 1.963 5.726 1.496
S 1.963 3.499 4.768
```

- E_form (uncorrected) (meV/atom) = -1925
- energy (eV/cell) = -49.0
- calculated density (g/cm³) = 5.34

***

No. 6
LiCuPO4: relaxed, PBE.

The structure in extended XYZ format:
```
42
Lattice="8.540 0.001 0.002 -2.600 8.134 0.002 -2.600 -3.561 7.313" Properties=species:S:1:pos:R:3 pbc="T T T"
Li 5.462 -1.585 5.325
Li 3.557 6.872 0.908
Li -0.995 3.490 3.066
Li -3.174 2.720 6.576
Li 3.627 2.705 1.447
Li 1.472 -0.573 4.480
Cu 0.174 4.836 5.608
Cu 0.694 3.610 0.302
Cu 4.554 4.323 3.930
Cu -1.459 0.262 3.378
Cu 2.731 1.056 6.804
Cu 3.227 -0.499 1.715
P -0.140 -2.351 6.420
P 4.199 1.118 4.197
P 6.521 1.938 0.699
P -0.214 1.871 5.740
P 1.848 4.999 2.844
P -2.197 6.143 2.048
O 4.440 2.531 4.806
O 1.707 5.207 4.381
O -2.675 4.487 7.275
O 5.088 7.057 2.125
O -2.431 4.873 2.915
O 2.025 6.404 2.175
O 5.172 -1.155 7.220
O 1.203 -2.167 5.658
O -1.302 -2.472 5.401
O 1.629 -1.237 2.617
O 5.483 0.256 4.440
O 0.643 4.230 2.253
O 3.057 0.400 4.980
O 3.833 1.192 2.696
O -0.032 0.665 4.790
O 6.053 0.568 0.143
O 5.382 2.985 0.530
O 1.059 2.131 6.600
O 2.261 2.433 0.034
O -1.426 1.670 6.710
O -1.674 1.838 2.202
O 3.166 4.223 2.541
O -0.551 3.148 4.909
O -1.958 5.729 0.574
```

- E_form (uncorrected) (meV/atom) = -1783
- energy (eV/cell) = -262.4
- calculated density (g/cm³) = 3.24